(1)
Computed, not measured: a geometry-optimized Li4GeRh3O8 structure at the PBE-GGA level of DFT.

Values from the calculation:
* calculated volume: 157.19 Å³/f.u.
* size of the total moment: 0.00 μB per formula unit
* total DFT energy (no corrections): -94.98 eV for the cell shown
* space-group type: No. 166
* energy relative to the elements, uncorrected: -1312 meV/atom

Cell lengths 5.9613, 5.9613, 5.9613 Å; angles 62.21, 62.21, 62.21 degrees
With the nearest neighbours (Å) after each atom.
Sites, in units of the cell vectors:
Li  0.0000  0.0000  0.0000  6 O 2.33
Li  0.0000  0.5000  0.5000  6 O 2.15-2.22
Li  0.5000  0.0000  0.5000  6 O 2.15-2.22
Li  0.5000  0.5000  0.0000  6 O 2.15-2.22
Ge  0.5000  0.5000  0.5000  6 O 1.95
Rh  0.0000  0.0000  0.5000  6 O 2.07-2.15
Rh  0.0000  0.5000  0.0000  6 O 2.07-2.15
Rh  0.5000  0.0000  0.0000  6 O 2.07-2.15
O  0.2402  0.2402  0.2402  3 Rh 2.07, 3 Li 2.22
O  0.2704  0.7276  0.7276  1 Ge 1.95, 2 Rh 2.15, 2 Li 2.15
O  0.2724  0.2724  0.7296  1 Ge 1.95, 2 Rh 2.15, 2 Li 2.15
O  0.2724  0.7296  0.2724  1 Ge 1.95, 2 Rh 2.15, 2 Li 2.15
O  0.7276  0.2704  0.7276  1 Ge 1.95, 2 Rh 2.15, 2 Li 2.15
O  0.7276  0.7276  0.2704  1 Ge 1.95, 2 Rh 2.15, 2 Li 2.15
O  0.7296  0.2724  0.2724  1 Ge 1.95, 2 Rh 2.15, 2 Li 2.15
O  0.7598  0.7598  0.7598  3 Rh 2.07, 3 Li 2.22


(2)
Computed, not measured: a geometry-optimized Li2GeRh2O6 structure at the PBE-GGA level of DFT.

Values from the calculation:
* calculated volume: 116.08 Å³/f.u.
* size of the total moment: 0.00 μB per formula unit
* total DFT energy (no corrections): -67.69 eV for the cell shown
* space-group type: No. 12
* energy relative to the elements, uncorrected: -1344 meV/atom

Cell lengths 5.2427, 5.2427, 5.1872 Å; angles 100.04, 100.04, 119.75 degrees
With the nearest neighbours (Å) after each atom.
Sites, in units of the cell vectors:
Li  0.1739  0.8261  0.0000  6 O 2.21-2.23
Li  0.8261  0.1739  0.0000  6 O 2.21-2.23
Ge  0.0000  0.0000  0.5000  6 O 1.92-2.00
Rh  0.3350  0.6650  0.5000  6 O 2.04-2.10
Rh  0.6650  0.3350  0.5000  6 O 2.04-2.10
O  0.0674  0.3962  0.7140  1 Ge 2.00, 2 Rh 2.04-2.08, 2 Li 2.21-2.23
O  0.2308  0.2308  0.2840  1 Ge 1.92, 2 Rh 2.10
O  0.3962  0.0674  0.7140  1 Ge 2.00, 2 Rh 2.04-2.08, 2 Li 2.21-2.23
O  0.6038  0.9326  0.2860  1 Ge 2.00, 2 Rh 2.04-2.08, 2 Li 2.21-2.23
O  0.7692  0.7692  0.7160  1 Ge 1.92, 2 Rh 2.10
O  0.9326  0.6038  0.2860  1 Ge 2.00, 2 Rh 2.04-2.08, 2 Li 2.21-2.23


(3)
Computed, not measured: a geometry-optimized Li2GeRhO4 structure at the PBE-GGA level of DFT.

Values from the calculation:
* calculated volume: 93.38 Å³/f.u.
* size of the total moment: 1.11 μB per formula unit
* total DFT energy (no corrections): -92.40 eV for the cell shown
* space-group type: No. 121
* energy relative to the elements, uncorrected: -1321 meV/atom

Cell lengths 4.8098, 4.8098, 8.0733 Å; angles 90.00, 90.00, 90.00 degrees
With the nearest neighbours (Å) after each atom.
Sites, in units of the cell vectors:
Li  0.0000  0.5000  0.2500  4 O 2.01
Li  0.0000  0.5000  0.7500  4 O 2.01
Li  0.5000  0.0000  0.2500  4 O 2.01
Li  0.5000  0.0000  0.7500  4 O 2.01
Ge  0.0000  0.0000  0.0000  4 O 1.79
Ge  0.5000  0.5000  0.5000  4 O 1.79
Rh  0.0000  0.0000  0.5000  4 O 2.12
Rh  0.5000  0.5000  0.0000  4 O 2.12
O  0.2218  0.2218  0.1183  1 Ge 1.79
O  0.2218  0.7782  0.8817  1 Ge 1.79
O  0.2782  0.2782  0.6183  1 Ge 1.79
O  0.2782  0.7218  0.3817  1 Ge 1.79
O  0.7218  0.2782  0.3817  1 Ge 1.79
O  0.7218  0.7218  0.6183  1 Ge 1.79
O  0.7782  0.2218  0.8817  1 Ge 1.79
O  0.7782  0.7782  0.1183  1 Ge 1.79


(4)
Computed, not measured: a geometry-optimized LiGe2SbO8 structure at the PBE-GGA level of DFT.

Values from the calculation:
* calculated volume: 139.82 Å³/f.u.
* size of the total moment: 2.03 μB per formula unit
* total DFT energy (no corrections): -67.87 eV for the cell shown
* space-group type: No. 119
* energy relative to the elements, uncorrected: -1078 meV/atom

Cell lengths 5.6673, 5.6673, 5.6673 Å; angles 107.96, 107.96, 112.54 degrees
With the nearest neighbours (Å) after each atom.
Sites, in units of the cell vectors:
Li  0.0000  0.0000  0.0000  4 O 2.10
Ge  0.5000  0.5000  0.0000  4 O 1.76
Ge  0.7500  0.2500  0.5000  4 O 1.78
Sb  0.2500  0.7500  0.5000  8 O 2.03-2.26
O  0.3212  0.1187  0.7975  1 Ge 1.76
O  0.3212  0.5237  0.2025  1 Ge 1.76
O  0.3604  0.0488  0.3116  1 Ge 1.78
O  0.4763  0.6788  0.7975  1 Ge 1.76
O  0.7372  0.0488  0.6884  1 Ge 1.78
O  0.8813  0.6788  0.2025  1 Ge 1.76
O  0.9512  0.2628  0.3116  1 Ge 1.78
O  0.9512  0.6396  0.6884  1 Ge 1.78


(5)
Computed, not measured: a geometry-optimized LiGeSbO5 structure at the PBE-GGA level of DFT.

Values from the calculation:
* calculated volume: 97.02 Å³/f.u.
* size of the total moment: 0.00 μB per formula unit
* total DFT energy (no corrections): -97.34 eV for the cell shown
* space-group type: No. 15
* energy relative to the elements, uncorrected: -1653 meV/atom

Cell lengths 5.5359, 5.5359, 7.3172 Å; angles 103.89, 103.89, 108.40 degrees
With the nearest neighbours (Å) after each atom.
Sites, in units of the cell vectors:
Li  0.1881  0.8119  0.7500  3 O 2.01-2.14
Li  0.8119  0.1881  0.2500  3 O 2.01-2.14
Ge  0.1920  0.8080  0.2500  4 O 1.76-1.78
Ge  0.8080  0.1920  0.7500  4 O 1.76-1.78
Sb  0.5000  0.5000  0.0000  6 O 1.99-2.02
Sb  0.5000  0.5000  0.5000  6 O 1.99-2.02
O  0.1143  0.2578  0.9353  1 Ge 1.76
O  0.1681  0.5568  0.3664  1 Ge 1.78
O  0.2578  0.1143  0.4353  1 Ge 1.76
O  0.4115  0.5885  0.7500  2 Sb 1.99, 1 Li 2.01
O  0.4432  0.8319  0.1336  1 Ge 1.78
O  0.5568  0.1681  0.8664  1 Ge 1.78
O  0.5885  0.4115  0.2500  2 Sb 1.99, 1 Li 2.01
O  0.7422  0.8857  0.5647  1 Ge 1.76
O  0.8319  0.4432  0.6336  1 Ge 1.78
O  0.8857  0.7422  0.0647  1 Ge 1.76


(6)
Computed, not measured: a geometry-optimized LiSc2GeO structure at the PBE-GGA level of DFT.

Values from the calculation:
* calculated volume: 74.79 Å³/f.u.
* size of the total moment: 0.00 μB per formula unit
* total DFT energy (no corrections): -32.22 eV for the cell shown
* space-group type: No. 123
* energy relative to the elements, uncorrected: -1614 meV/atom

Cell lengths 4.3403, 4.3403, 3.9701 Å; angles 90.00, 90.00, 90.00 degrees
With the nearest neighbours (Å) after each atom.
Sites, in units of the cell vectors:
Li  0.0000  0.0000  0.0000  2 O 1.99
Sc  0.0000  0.5000  0.5000  2 O 2.17
Sc  0.5000  0.0000  0.5000  2 O 2.17
Ge  0.5000  0.5000  0.0000  8 Sc 2.94, 4 Li 3.07
O  0.0000  0.0000  0.5000  2 Li 1.99, 4 Sc 2.17


(7)
Computed, not measured: a geometry-optimized Li2ScGeO4 structure at the PBE-GGA level of DFT.

Values from the calculation:
* calculated volume: 81.87 Å³/f.u.
* size of the total moment: 0.00 μB per formula unit
* total DFT energy (no corrections): -104.72 eV for the cell shown
* space-group type: No. 119
* energy relative to the elements, uncorrected: -2219 meV/atom

Cell lengths 4.2171, 4.2171, 9.2066 Å; angles 90.00, 90.00, 90.00 degrees
With the nearest neighbours (Å) after each atom.
Sites, in units of the cell vectors:
Li  0.0000  0.0000  0.0000  4 O 2.11
Li  0.0000  0.5000  0.2500  4 O 2.11
Li  0.5000  0.0000  0.7500  4 O 2.11
Li  0.5000  0.5000  0.5000  4 O 2.11
Sc  0.0000  0.5000  0.7500  6 O 2.11-2.16
Sc  0.5000  0.0000  0.2500  6 O 2.11-2.16
Ge  0.0000  0.0000  0.5000  6 O 2.11-2.14
Ge  0.5000  0.5000  0.0000  6 O 2.11-2.14
O  0.0000  0.0000  0.2672  2 Li 2.11, 2 Sc 2.11, 1 Ge 2.14
O  0.0000  0.0000  0.7328  2 Li 2.11, 2 Sc 2.11, 1 Ge 2.14
O  0.0000  0.5000  0.5155  2 Ge 2.11, 2 Li 2.11, 1 Sc 2.16
O  0.0000  0.5000  0.9845  2 Ge 2.11, 2 Li 2.11, 1 Sc 2.16
O  0.5000  0.0000  0.0155  2 Ge 2.11, 2 Li 2.11, 1 Sc 2.16
O  0.5000  0.0000  0.4845  2 Ge 2.11, 2 Li 2.11, 1 Sc 2.16
O  0.5000  0.5000  0.2328  2 Li 2.11, 2 Sc 2.11, 1 Ge 2.14
O  0.5000  0.5000  0.7672  2 Li 2.11, 2 Sc 2.11, 1 Ge 2.14


(8)
Computed, not measured: a geometry-optimized LiScGe2O6 structure at the PBE-GGA level of DFT.

Values from the calculation:
* calculated volume: 122.05 Å³/f.u.
* size of the total moment: 0.00 μB per formula unit
* polymorph energy (0 for the lowest one): 0.0000 eV/atom
* total DFT energy (no corrections): -278.40 eV for the cell shown
* space-group type: No. 14
* energy relative to the elements, uncorrected: -2237 meV/atom

Cell lengths 9.8376, 9.2054, 5.5241 Å; angles 90.00, 102.61, 90.00 degrees
With the nearest neighbours (Å) after each atom.
Sites, in units of the cell vectors:
Li  0.2481  0.0050  0.4689  5 O 2.07-2.28
Li  0.2481  0.4950  0.9689  5 O 2.07-2.28
Li  0.7519  0.5050  0.0311  5 O 2.07-2.28
Li  0.7519  0.9950  0.5311  5 O 2.07-2.28
Sc  0.2486  0.6458  0.4685  4 O 2.00-2.14
Sc  0.2486  0.8542  0.9685  4 O 2.00-2.14
Sc  0.7514  0.1458  0.0315  4 O 2.00-2.14
Sc  0.7514  0.3542  0.5315  4 O 2.00-2.14
Ge  0.0524  0.1631  0.8084  4 O 1.74-1.80
Ge  0.0524  0.3369  0.3084  4 O 1.74-1.80
Ge  0.4509  0.1616  0.2466  4 O 1.73-1.79
Ge  0.4509  0.3384  0.7466  4 O 1.73-1.79
Ge  0.5491  0.6616  0.2534  4 O 1.73-1.79
Ge  0.5491  0.8384  0.7534  4 O 1.73-1.79
Ge  0.9476  0.6631  0.6916  4 O 1.74-1.80
Ge  0.9476  0.8369  0.1916  4 O 1.74-1.80
O  0.1081  0.1911  0.1375  2 Ge 1.79-1.80
O  0.1081  0.3089  0.6375  2 Ge 1.79-1.80
O  0.1331  0.0048  0.7411  1 Ge 1.74
O  0.1331  0.4952  0.2411  1 Ge 1.74
O  0.1333  0.6674  0.7541  1 Ge 1.78
O  0.1333  0.8326  0.2541  1 Ge 1.78
O  0.3645  0.6698  0.1869  1 Ge 1.77
O  0.3645  0.8302  0.6869  1 Ge 1.77
O  0.3798  0.5104  0.6868  1 Ge 1.73
O  0.3798  0.9896  0.1868  1 Ge 1.73
O  0.3815  0.2102  0.5090  2 Ge 1.79
O  0.3815  0.2898  0.0090  2 Ge 1.79
O  0.6185  0.7102  0.9910  2 Ge 1.79
O  0.6185  0.7898  0.4910  2 Ge 1.79
O  0.6202  0.0104  0.8132  1 Ge 1.73
O  0.6202  0.4896  0.3132  1 Ge 1.73
O  0.6355  0.1698  0.3131  1 Ge 1.77
O  0.6355  0.3302  0.8131  1 Ge 1.77
O  0.8667  0.1674  0.7459  1 Ge 1.78
O  0.8667  0.3326  0.2459  1 Ge 1.78
O  0.8669  0.5048  0.7589  1 Ge 1.74
O  0.8669  0.9952  0.2589  1 Ge 1.74
O  0.8919  0.6911  0.3625  2 Ge 1.79-1.80
O  0.8919  0.8089  0.8625  2 Ge 1.79-1.80


(9)
Computed, not measured: a geometry-optimized LiScGe2O6 structure at the PBE-GGA level of DFT.

Values from the calculation:
* calculated volume: 122.76 Å³/f.u.
* size of the total moment: 0.00 μB per formula unit
* polymorph energy (0 for the lowest one): 0.0074 eV/atom
* total DFT energy (no corrections): -139.05 eV for the cell shown
* space-group type: No. 15
* energy relative to the elements, uncorrected: -2230 meV/atom

Cell lengths 6.8548, 6.8548, 5.5107 Å; angles 103.10, 103.10, 85.26 degrees
With the nearest neighbours (Å) after each atom.
Sites, in units of the cell vectors:
Li  0.2393  0.7607  0.7500  4 O 2.07
Li  0.7607  0.2393  0.2500  4 O 2.07
Sc  0.1057  0.8943  0.2500  6 O 2.04-2.26
Sc  0.8943  0.1057  0.7500  6 O 2.04-2.26
Ge  0.2115  0.3901  0.2582  4 O 1.74-1.79
Ge  0.3901  0.2115  0.7582  4 O 1.74-1.79
Ge  0.6099  0.7885  0.2418  4 O 1.74-1.79
Ge  0.7885  0.6099  0.7418  4 O 1.74-1.79
O  0.0340  0.1959  0.1428  1 Ge 1.79
O  0.1236  0.6318  0.3719  1 Ge 1.74
O  0.1959  0.0340  0.6428  1 Ge 1.79
O  0.3157  0.4071  0.9956  2 Ge 1.78
O  0.3682  0.8764  0.1281  1 Ge 1.74
O  0.4071  0.3157  0.4956  2 Ge 1.78
O  0.5929  0.6843  0.5044  2 Ge 1.78
O  0.6318  0.1236  0.8719  1 Ge 1.74
O  0.6843  0.5929  0.0044  2 Ge 1.78
O  0.8041  0.9660  0.3572  1 Ge 1.79
O  0.8764  0.3682  0.6281  1 Ge 1.74
O  0.9660  0.8041  0.8572  1 Ge 1.79


(10)
Computed, not measured: a geometry-optimized LiSiGe2O6 structure at the PBE-GGA level of DFT.

Values from the calculation:
* calculated volume: 137.48 Å³/f.u.
* size of the total moment: 0.00 μB per formula unit
* total DFT energy (no corrections): -129.79 eV for the cell shown
* space-group type: No. 15
* energy relative to the elements, uncorrected: -1857 meV/atom

Cell lengths 7.4705, 7.4705, 5.5776 Å; angles 108.44, 108.44, 94.12 degrees
With the nearest neighbours (Å) after each atom.
Sites, in units of the cell vectors:
Li  0.0635  0.9365  0.7500  4 O 2.07-2.26
Li  0.9365  0.0635  0.2500  4 O 2.07-2.26
Si  0.2006  0.7994  0.2500  4 O 1.62-1.68
Si  0.7994  0.2006  0.7500  4 O 1.62-1.68
Ge  0.2249  0.3884  0.8154  4 O 1.81-1.90
Ge  0.3884  0.2249  0.3154  4 O 1.81-1.90
Ge  0.6116  0.7751  0.6846  4 O 1.81-1.90
Ge  0.7751  0.6116  0.1846  4 O 1.81-1.90
O  0.0072  0.7975  0.3409  1 Si 1.68
O  0.1655  0.6164  0.9769  1 Si 1.62, 1 Ge 1.82
O  0.2025  0.9928  0.1591  1 Si 1.68
O  0.2778  0.3869  0.5175  2 Ge 1.81-1.82
O  0.3836  0.8345  0.5231  1 Si 1.62, 1 Ge 1.82
O  0.3869  0.2778  0.0175  2 Ge 1.81-1.82
O  0.6131  0.7222  0.9825  2 Ge 1.81-1.82
O  0.6164  0.1655  0.4769  1 Si 1.62, 1 Ge 1.82
O  0.7222  0.6131  0.4825  2 Ge 1.81-1.82
O  0.7975  0.0072  0.8409  1 Si 1.68
O  0.8345  0.3836  0.0231  1 Si 1.62, 1 Ge 1.82
O  0.9928  0.2025  0.6591  1 Si 1.68